No. 1
Li4MgIn2 | Alexandria via LeMat-Bulk | PBE | relaxed; excess energy over the best structure of this formula in the dataset = 0 meV per atom; ΔE_f = -1.5 eV per formula unit
1.0
4.578 0.000 1.430
2.066 4.085 1.430
0.176 0.108 7.479
Li In Mg
4 2 1
Cartesian
5.792 3.562 5.584
2.919 1.795 6.740
1.026 0.631 4.756
3.900 2.398 3.600
1.845 1.135 2.135
4.974 3.059 8.204
0.000 0.000 0.000


No. 2
CsCo3Sb | Alexandria via LeMat-Bulk | PBE | relaxed; uncorrected formation energy = 2.2308 eV per atom
1.0
-3.420 0.450 3.342
2.538 -2.790 2.973
2.220 3.883 1.749
Sb Co Cs
1 3 1
Cartesian
0.669 0.771 4.032
-1.710 0.225 1.671
1.269 -1.395 1.487
1.110 1.942 0.875
0.000 0.000 0.000


No. 3
Y3TmSc2Se6 | Alexandria via LeMat-Bulk | PBE | relaxed; uncorrected formation energy = -1.6866 eV per atom
1.0
6.931 -0.017 -0.003
-3.479 5.995 -0.003
-1.154 -1.998 6.579
Se Tm Y Sc
6 1 3 2
Cartesian
-0.051 3.986 5.009
-1.180 2.032 1.565
3.478 1.948 5.009
2.279 3.946 1.540
0.020 0.034 5.034
2.349 -0.006 1.565
0.000 0.000 0.000
1.149 1.990 3.287
4.651 -0.033 3.287
-2.353 4.012 3.287
3.467 1.983 -0.003
-0.015 3.995 -0.003


No. 4
TaTlOs3 | Alexandria via LeMat-Bulk | PBE | relaxed; excess energy over the best structure of this formula in the dataset = 0 meV per atom; ΔE_f = 10.6 eV per formula unit
1.0
4.817 0.000 0.000
0.000 4.817 0.000
0.000 0.000 4.817
Os Tl Ta
3 1 1
Cartesian
0.000 0.000 2.408
2.408 0.000 0.000
0.000 2.408 0.000
2.408 2.408 2.408
0.000 0.000 0.000


No. 5
CaDy2NbN4 | Alexandria via LeMat-Bulk | PBE | relaxed; uncorrected formation energy = -1.2152 eV per atom
1.0
-2.571 -2.216 0.425
5.215 -3.343 0.347
0.391 1.860 12.061
N Ca Nb Dy
8 2 2 4
Cartesian
0.196 0.930 6.030
3.741 -2.510 9.536
0.967 -1.636 11.077
-0.706 -1.188 3.296
2.169 -1.585 4.850
0.866 -2.113 7.983
0.000 0.000 0.000
2.068 -2.063 1.756
1.901 -4.142 3.667
1.134 0.443 9.165
1.345 -0.948 3.193
1.690 -2.751 9.640
-0.086 -1.389 5.998
3.291 -1.499 12.085
3.121 -2.309 6.835
-0.256 -2.199 0.747


No. 6
LaTa4Cr | Alexandria via LeMat-Bulk | PBE | relaxed; ΔE_f = 3.5 eV per formula unit
1.0
4.514 -3.328 -0.544
0.767 -4.310 3.548
-0.607 -5.295 -1.827
Cr Ta La
1 4 1
Cartesian
3.505 -9.699 0.883
4.014 -6.514 0.168
1.751 -4.845 0.441
2.136 -7.006 2.219
1.447 -7.500 -0.475
0.000 0.000 0.000


No. 7
BePdC3 | Alexandria via LeMat-Bulk | PBE | relaxed; excess energy over the best structure of this formula in the dataset = 669 meV per atom; ΔE_f = 14.7 eV per formula unit
1.0
4.006 0.000 0.000
0.000 4.006 0.000
0.000 0.000 4.006
Be C Pd
1 3 1
Cartesian
2.003 2.003 2.003
0.000 2.003 0.000
0.000 0.000 2.003
2.003 0.000 0.000
0.000 0.000 0.000


No. 8
Ta3AlMo | Alexandria via LeMat-Bulk | PBE | relaxed; excess energy over the best structure of this formula in the dataset = 0 meV per atom; ΔE_f = 6.8 eV per formula unit
1.0
-1.942 1.618 4.096
-4.336 0.082 -2.088
-0.771 -4.532 1.425
Al Mo Ta
1 1 3
Cartesian
-3.525 -1.416 1.716
0.000 0.000 0.000
-0.386 -2.266 0.712
-0.971 0.809 2.048
-2.168 0.041 -1.044


No. 9
LaCo3P | Alexandria via LeMat-Bulk | PBE | relaxed; excess energy over the best structure of this formula in the dataset = 1969 meV per atom; ΔE_f = 8.6 eV per formula unit
1.0
4.579 0.000 0.000
0.000 4.579 0.000
0.000 0.000 4.579
Co P La
3 1 1
Cartesian
2.290 0.000 0.000
0.000 0.000 2.290
0.000 2.290 0.000
2.290 2.290 2.290
0.000 0.000 0.000


No. 10
Zr3SiPb | Alexandria via LeMat-Bulk | PBE | relaxed; excess energy over the best structure of this formula in the dataset = 1315 meV per atom; uncorrected formation energy = 1.2903 eV per atom
1.0
5.327 0.000 0.000
0.000 5.327 0.000
0.000 0.000 5.327
Zr Pb Si
3 1 1
Cartesian
0.000 0.000 2.664
0.000 2.664 0.000
2.664 0.000 0.000
0.000 0.000 0.000
2.664 2.664 2.664


No. 11
Si5Ir3O12 | Alexandria via LeMat-Bulk | PBE | relaxed; uncorrected formation energy = -1.2346 eV per atom
1.0
-4.278 3.637 -8.593
-4.415 -8.921 2.510
-1.351 6.749 7.616
O Si Ir
48 20 12
Cartesian
-8.785 1.746 2.833
-6.242 1.162 -2.768
-5.365 8.599 -0.673
-1.945 2.134 3.356
-6.142 6.383 0.803
-5.306 -3.552 -1.774
-4.738 5.017 3.307
-5.845 -0.340 -0.470
-4.141 -2.335 4.602
-5.903 3.800 -3.069
-3.642 0.844 -0.433
-8.000 -3.127 -2.280
-1.259 -0.281 -1.300
-4.737 8.278 2.010
-4.801 -5.029 4.585
-6.960 0.562 4.555
-6.944 -3.227 0.283
-3.902 -4.918 0.729
-7.575 4.135 0.565
-4.199 1.805 2.002
-5.243 6.494 -3.052
-5.536 -3.283 2.558
-6.403 0.621 1.965
-2.794 6.941 2.844
-5.307 -6.813 -0.477
-2.469 -2.670 0.967
-4.679 -7.134 2.206
-6.521 3.022 3.350
-8.099 -0.669 -1.823
-3.084 0.903 -3.022
-3.101 4.692 1.250
-7.872 2.833 -1.865
-4.088 -0.649 1.525
-2.044 4.592 3.813
-5.956 2.114 0.008
-2.933 -4.174 2.913
-4.508 4.748 -1.026
-6.519 -5.347 1.541
-3.525 6.812 -0.009
-4.331 2.886 4.553
-7.111 5.639 -1.380
-2.173 -1.368 3.398
-7.250 -5.476 -1.311
-1.384 -0.128 1.194
-3.523 -1.557 -1.817
-8.660 1.593 0.339
-5.713 -1.421 -3.021
-3.802 0.303 4.300
-2.814 5.193 -0.489
-2.208 -4.460 1.255
-3.169 5.310 2.803
-6.875 -3.845 -1.271
-2.528 -1.204 1.771
-6.475 -0.317 -2.020
-3.569 1.782 3.553
-4.353 -3.705 3.664
-5.691 5.170 -2.132
-4.347 -2.642 -3.042
-7.516 2.668 -0.238
-2.139 1.819 -4.297
-2.883 -1.086 5.063
-7.167 1.488 3.176
0.000 0.000 0.000
-2.877 -0.023 -1.643
-5.102 -6.053 1.000
-4.942 7.518 0.533
-5.022 0.732 0.766
-0.675 3.374 3.808
-5.033 0.226 -4.552
-5.760 -1.109 3.420
-5.411 -2.290 6.834
-7.224 -2.665 -4.685
-4.284 2.574 -1.887
-2.820 4.130 6.218
-5.011 1.239 6.085
-5.343 3.989 1.283
-7.916 -0.860 0.511
-4.633 3.755 -5.301
-4.702 -2.524 0.250
-2.128 2.325 1.021


No. 12
NbGeTe | Alexandria via LeMat-Bulk | PBE | relaxed; uncorrected formation energy = -0.0999 eV per atom
1.0
-1.006 0.590 3.244
4.519 -4.023 3.964
6.159 1.623 3.446
Te Nb Ge
2 2 2
Cartesian
3.993 0.401 4.828
5.679 -2.212 5.826
2.460 -0.489 2.683
7.212 -1.322 7.971
3.574 -2.850 3.458
6.098 1.040 7.196


Computed total magnetic moment, in the same sequence as the records: 0.0, 3.6, 0.0, 1.7, 0.0, 2.0, 0.0, 0.0, 2.8, 0.0, 7.1, 0.0 μB per formula unit.
Computed DOS(E_F), in the same sequence as the records: 2.0, 5.7, 6.3, 8.3, 6.3, 8.9, 0.7, 4.7, 5.8, 8.5, 37.1, 2.6 states/eV per cell.